Density functional theory data (PBE-GGA) for a relaxed NiPSN2 crystal.

Unit cell a=3.2434 b=3.2434 c=6.3738 alpha=90.00 beta=90.00 gamma=90.00
Closest atoms and distances in Å follow each position.
Space group P4/mmm (No. 123)
One atom of each set of equivalent atoms:
Ni 0.0000 0.0000 0.0000 [1 per cell]  4 S 2.29
P 0.5000 0.5000 0.5000 [1 per cell]  4 N 1.62
S 0.5000 0.5000 0.0000 [1 per cell]  4 Ni 2.29
N 0.0000 0.5000 0.5000 [2 per cell]  2 P 1.62

Calculated values
The calculation puts the energy above the lowest structure with this stoichiometry at 0.00 eV per formula unit. The calculation puts the magnetization at 0.89 μB/f.u. For the formation energy (no corrections), the calculation gives 68.4 kJ/mol of atoms. The crystal system is tetragonal. The calculated volume comes out at 67.1 Å³/cell. The value obtained for the total energy is -5.685 eV per atom.